Record 1
The following is a DFT calculation (PBE) of Zn3Pd4PbO12 after structural relaxation.

Cell lengths 6.5845, 6.5845, 6.5845 Å; angles 109.47, 109.47, 109.47 degrees
Fractional positions:
1 O 0.3089 0.8208 0.1297
2 O 0.4880 0.3089 0.1792
3 O 0.8703 0.6911 0.1792
4 O 0.8208 0.1297 0.3089
5 O 0.1792 0.4880 0.3089
6 O 0.3089 0.1792 0.4880
7 O 0.6911 0.8208 0.5120
8 O 0.8208 0.5120 0.6911
9 O 0.1792 0.8703 0.6911
10 O 0.1297 0.3089 0.8208
11 O 0.5120 0.6911 0.8208
12 O 0.6911 0.1792 0.8703
13 Pb 0.0000 0.0000 0.0000
14 Pd 0.5000 0.0000 0.0000
15 Pd 0.0000 0.5000 0.0000
16 Pd 0.0000 0.0000 0.5000
17 Pd 0.5000 0.5000 0.5000
18 Zn 0.5000 0.5000 0.0000
19 Zn 0.5000 0.0000 0.5000
20 Zn 0.0000 0.5000 0.5000

Output
space-group type: Im-3
calculated volume: 10.99 A^3/atom
E: -5.01 eV/atom

Record 2
The following is a DFT calculation (PBE) of NaTeMo after structural relaxation.

Cell lengths 4.8519, 4.8519, 4.8519 Å; angles 60.00, 60.00, 60.00 degrees
Site moments in Bohr magnetons follow the coordinates.
Fractional positions:
1 Mo 0.2500 0.2500 0.2500  3.23
2 Na 0.7500 0.7500 0.7500  0.01
3 Te 0.0000 0.0000 0.0000  -0.03

Output
space-group type: F-43m
total moment: 4.10 μB/cell
distance to the lowest polymorph of the same formula: 0 meV per atom
calculated volume: 26.92 A^3/atom
E: -4.45 eV/atom

Record 3
The following is a DFT calculation (PBE) of SmZnNO after structural relaxation.

Cell lengths 4.9016, 4.9016, 4.5192 Å; angles 90.00, 90.00, 90.00 degrees
Fractional positions:
1 N 0.7500 0.7500 0.4976
2 N 0.2500 0.2500 0.5024
3 O 0.7500 0.2500 0.0000
4 O 0.2500 0.7500 0.0000
5 Sm 0.7500 0.2500 0.5000
6 Sm 0.2500 0.7500 0.5000
7 Zn 0.7500 0.7500 0.0038
8 Zn 0.2500 0.2500 0.9962

Output
space-group type: P4/nmm
total moment: 0.00 μB/cell
distance to the lowest polymorph of the same formula: 228 meV per atom
calculated volume: 13.57 A^3/atom
E: -6.16 eV/atom